Record 1
# Zr2TcPd (meta-GGA SCAN, single point on PBEsol structure)
# * volume: 69.9 Å³/f.u.
# * crystal system: cubic
# * ΔH_f (0 K): -2.51 eV per formula unit
data_Zr2TcPd
_space_group_name_H-M_alt 'F m -3 m'
_space_group_IT_number 225
_space_group_name_Hall '-F 4 2 3'
_cell_length_a 6.5385
_cell_length_b 6.5385
_cell_length_c 6.5385
_cell_angle_alpha 90.00
_cell_angle_beta 90.00
_cell_angle_gamma 90.00
loop_
_atom_site_label
_atom_site_type_symbol
_atom_site_fract_x
_atom_site_fract_y
_atom_site_fract_z
Zr1 Zr 0.2500 0.2500 0.2500
Tc1 Tc 0.0000 0.0000 0.0000
Pd1 Pd 0.0000 0.0000 0.5000



Record 2
# ErPO4 (meta-GGA SCAN, single point on PBEsol structure)
# * volume: 69.3 Å³/f.u.
# * crystal system: tetragonal
# * formation energy (no corrections): -3.3822 eV per atom
data_ErPO4
_space_group_name_H-M_alt 'I 41/a m d'
_space_group_IT_number 141
_cell_length_a 6.8224
_cell_length_b 6.8224
_cell_length_c 5.9596
_cell_angle_alpha 90.00
_cell_angle_beta 90.00
_cell_angle_gamma 90.00
loop_
_space_group_symop_operation_xyz
'x,y,z'
'-x,-y,-z'
'-y+1/4,x+3/4,z+1/4'
'y+1/4,-x+3/4,-z+1/4'
'-x+1/2,-y,z+1/2'
'x+1/2,y,-z+1/2'
'y+1/4,-x+1/4,z+3/4'
'-y+1/4,x+1/4,-z+3/4'
'x,-y,-z'
'-x,y,z'
'-y+1/4,-x+1/4,-z+3/4'
'y+1/4,x+1/4,z+3/4'
'-x+1/2,y,-z+1/2'
'x+1/2,-y,z+1/2'
'y+1/4,x+3/4,-z+1/4'
'-y+1/4,-x+3/4,z+1/4'
'x+1/2,y+1/2,z+1/2'
'-x+1/2,-y+1/2,-z+1/2'
'-y+3/4,x+1/4,z+3/4'
'y+3/4,-x+1/4,-z+3/4'
'-x,-y+1/2,z'
'x,y+1/2,-z'
'y+3/4,-x+3/4,z+1/4'
'-y+3/4,x+3/4,-z+1/4'
'x+1/2,-y+1/2,-z+1/2'
'-x+1/2,y+1/2,z+1/2'
'-y+3/4,-x+3/4,-z+1/4'
'y+3/4,x+3/4,z+1/4'
'-x,y+1/2,-z'
'x,-y+1/2,z'
'y+3/4,x+1/4,-z+3/4'
'-y+3/4,-x+1/4,z+3/4'
loop_
_atom_site_label
_atom_site_type_symbol
_atom_site_fract_x
_atom_site_fract_y
_atom_site_fract_z
Er1 Er 0.0000 0.2500 0.3750
P1 P 0.0000 0.2500 0.8750
O1 O 0.0000 0.0732 0.7124



Q: The highest volume belongs to which entry?
A: Zr2TcPd